[1]
# PBE-GGA AlSi2Ni, relaxed
data_AlSi2Ni
_space_group_name_H-M_alt 'P 1'
_space_group_IT_number 1
_space_group_name_Hall 'P 1'
_cell_length_a 4.213
_cell_length_b 4.213
_cell_length_c 5.725
_cell_angle_alpha 69.29
_cell_angle_beta 69.29
_cell_angle_gamma 39.27
loop_
_atom_site_label
_atom_site_fract_x
_atom_site_fract_y
_atom_site_fract_z
Ni1 0.777 0.777 0.877
Si1 0.051 0.051 0.896
Si2 0.236 0.236 0.235
Al1 0.436 0.436 0.492
# total energy	-20.711	eV per formula unit
# ρ	3.95	g cm⁻³
# formation energy from raw total energies	-0.09	eV per atom


[2]
# PBE-GGA AcBeAlPt3, relaxed
data_AcBeAlPt3
_space_group_name_H-M_alt 'P 1'
_space_group_IT_number 1
_space_group_name_Hall 'P 1'
_cell_length_a 5.833
_cell_length_b 6.478
_cell_length_c 6.950
_cell_angle_alpha 117.78
_cell_angle_beta 90.00
_cell_angle_gamma 90.00
loop_
_atom_site_label
_atom_site_fract_x
_atom_site_fract_y
_atom_site_fract_z
Pt1 0.000 0.264 0.000
Al1 0.750 0.610 0.221
Pt2 0.500 0.736 0.000
Be1 0.750 0.994 0.987
Pt3 0.500 0.264 0.000
Ac1 0.250 0.736 0.471
Pt4 0.250 0.192 0.384
Al2 0.250 0.390 0.779
Pt5 0.000 0.736 0.000
Pt6 0.750 0.808 0.616
Be2 0.250 0.006 0.013
Ac2 0.750 0.264 0.529
# calculated formation energy	-5.3	eV/f.u.
# total energy	-34.965	eV per formula unit
# ρ	12.12	g cm⁻³


[3]
# PBE-GGA KHf3Cu, relaxed
data_KHf3Cu
_space_group_name_H-M_alt 'P 1'
_space_group_IT_number 1
_space_group_name_Hall 'P 1'
_cell_length_a 4.848
_cell_length_b 4.848
_cell_length_c 4.848
_cell_angle_alpha 90.00
_cell_angle_beta 90.00
_cell_angle_gamma 90.00
loop_
_atom_site_label
_atom_site_fract_x
_atom_site_fract_y
_atom_site_fract_z
Hf1 0.500 0.000 0.000
Hf2 0.000 0.000 0.500
K1 0.000 0.000 0.000
Hf3 0.000 0.500 0.000
Cu1 0.500 0.500 0.500
# calculated formation energy	11.7	eV/f.u.
# total energy	-23.391	eV per formula unit
# ρ	9.30	g cm⁻³
# ΔE to the lowest computed polymorph	1393	meV/atom


[4]
# PBE-GGA Nd12SnRu6, relaxed
data_Nd12SnRu6
_space_group_name_H-M_alt 'P 1'
_space_group_IT_number 1
_space_group_name_Hall 'P 1'
_cell_length_a 8.806
_cell_length_b 8.806
_cell_length_c 8.806
_cell_angle_alpha 109.47
_cell_angle_beta 109.47
_cell_angle_gamma 109.47
loop_
_atom_site_label
_atom_site_fract_x
_atom_site_fract_y
_atom_site_fract_z
Ru1 0.500 0.880 0.380
Nd1 0.103 0.805 0.298
Nd2 0.493 0.195 0.298
Ru2 0.120 0.620 0.500
Nd3 0.298 0.493 0.195
Ru3 0.500 0.120 0.620
Nd4 0.298 0.103 0.805
Nd5 0.507 0.805 0.702
Nd6 0.805 0.298 0.103
Ru4 0.380 0.500 0.880
Nd7 0.702 0.897 0.195
Nd8 0.702 0.507 0.805
Nd9 0.805 0.702 0.507
Ru5 0.880 0.380 0.500
Nd10 0.195 0.702 0.897
Ru6 0.620 0.500 0.120
Nd11 0.195 0.298 0.493
Nd12 0.897 0.195 0.702
Sn1 0.000 0.000 0.000
# calculated formation energy	-4.1	eV/f.u.
# total energy	-120.947	eV per formula unit
# ρ	7.76	g cm⁻³


[5]
# PBE-GGA TbPm2Cd, relaxed
data_TbPm2Cd
_space_group_name_H-M_alt 'P 1'
_space_group_IT_number 1
_space_group_name_Hall 'P 1'
_cell_length_a 3.799
_cell_length_b 5.633
_cell_length_c 5.633
_cell_angle_alpha 90.00
_cell_angle_beta 90.00
_cell_angle_gamma 90.00
loop_
_atom_site_label
_atom_site_fract_x
_atom_site_fract_y
_atom_site_fract_z
Pm1 0.000 0.000 0.500
Cd1 0.500 0.000 0.000
Tb1 0.500 0.500 0.500
Pm2 0.000 0.500 0.000
# calculated formation energy	-0.3	eV/f.u.
# total energy	-15.383	eV per formula unit
# ρ	7.73	g cm⁻³
# ΔE to the lowest computed polymorph	57	meV/atom


[6]
# PBE-GGA Na5Li2Ga12, relaxed
data_Na5Li2Ga12
_space_group_name_H-M_alt 'P 1'
_space_group_IT_number 1
_space_group_name_Hall 'P 1'
_cell_length_a 6.584
_cell_length_b 6.686
_cell_length_c 9.775
_cell_angle_alpha 70.00
_cell_angle_beta 87.74
_cell_angle_gamma 90.00
loop_
_atom_site_label
_atom_site_fract_x
_atom_site_fract_y
_atom_site_fract_z
Ga1 0.742 0.341 0.744
Li1 0.000 0.239 0.000
Ga2 0.742 0.915 0.744
Na1 0.500 0.000 0.000
Na2 0.050 0.716 0.568
Ga3 0.346 0.419 0.779
Ga4 0.258 0.659 0.256
Na3 0.441 0.243 0.514
Li2 0.000 0.761 0.000
Ga5 0.654 0.581 0.221
Ga6 0.694 0.529 0.942
Ga7 0.088 0.122 0.757
Ga8 0.654 0.198 0.221
Ga9 0.306 0.471 0.058
Na4 0.559 0.757 0.486
Ga10 0.346 0.802 0.779
Ga11 0.912 0.878 0.243
Ga12 0.258 0.085 0.256
Na5 0.950 0.284 0.432
# calculated formation energy	-2.0	eV/f.u.
# total energy	-48.749	eV per formula unit
# ρ	3.97	g cm⁻³


[7]
# PBE-GGA Tl3PdCl7, relaxed
data_Tl3PdCl7
_space_group_name_H-M_alt 'P 1'
_space_group_IT_number 1
_space_group_name_Hall 'P 1'
_cell_length_a 6.837
_cell_length_b 9.657
_cell_length_c 9.657
_cell_angle_alpha 90.00
_cell_angle_beta 90.00
_cell_angle_gamma 90.00
loop_
_atom_site_label
_atom_site_fract_x
_atom_site_fract_y
_atom_site_fract_z
Cl1 0.752 0.119 0.381
Cl2 0.000 0.328 0.172
Tl1 0.500 0.325 0.175
Cl3 0.248 0.119 0.381
Cl4 0.500 0.000 0.000
Tl2 0.000 0.000 0.000
Cl5 0.000 0.672 0.828
Cl6 0.752 0.881 0.619
Cl7 0.752 0.381 0.881
Cl8 0.752 0.619 0.119
Tl3 0.500 0.825 0.325
Pd1 0.000 0.500 0.000
Tl4 0.500 0.175 0.675
Tl5 0.000 0.500 0.500
Cl9 0.248 0.619 0.119
Cl10 0.248 0.381 0.881
Cl11 0.248 0.881 0.619
Tl6 0.500 0.675 0.825
Pd2 0.000 0.000 0.500
Cl12 0.500 0.500 0.500
Cl13 0.000 0.828 0.328
Cl14 0.000 0.172 0.672
# total energy	-33.221	eV per formula unit
# ρ	5.04	g cm⁻³
# formation energy from raw total energies	-0.73	eV per atom


[8]
# PBE-GGA RbBa2DyCl8, relaxed
data_RbBa2DyCl8
_space_group_name_H-M_alt 'P 1'
_space_group_IT_number 1
_space_group_name_Hall 'P 1'
_cell_length_a 6.930
_cell_length_b 6.821
_cell_length_c 9.596
_cell_angle_alpha 90.00
_cell_angle_beta 90.00
_cell_angle_gamma 90.08
loop_
_atom_site_label
_atom_site_fract_x
_atom_site_fract_y
_atom_site_fract_z
Ba1 0.500 0.500 0.243
Cl1 0.837 0.208 0.799
Dy1 0.000 0.000 0.000
Cl2 0.300 0.255 0.000
Cl3 0.700 0.745 0.000
Cl4 0.837 0.208 0.201
Cl5 0.365 0.279 0.500
Cl6 0.163 0.792 0.201
Cl7 0.163 0.792 0.799
Ba2 0.500 0.500 0.757
Rb1 0.000 0.000 0.500
Cl8 0.635 0.721 0.500
# total energy	-52.171	eV per formula unit
# ρ	2.95	g cm⁻³
# formation energy from raw total energies	-2.33	eV per atom